PmScGeH after structural relaxation. Source: Alexandria, functional PBE.

Geometry as POSCAR:
```
PmScGeH
1.0
-1.358 -1.464 -3.762
-2.427 -2.876 1.995
-6.228 5.366 0.160
Sc H Pm Ge
2 2 2 2
Direct
0.000 0.000 0.000 Sc
0.500 0.500 0.000 Sc
0.000 0.000 0.500 H
0.500 0.500 0.500 H
0.000 0.500 0.365 Pm
0.500 0.000 0.635 Pm
0.500 0.000 0.221 Ge
0.000 0.500 0.779 Ge
```

Computed properties:
Total DFT energy (no corrections)   -0.202 hartree per atom